Material: TbAl
Method: DFT, GGA-PBE
State: relaxed

- space group = No. 221
- final energy (eV per atom) = -4.58

Cell and atoms, written as POSCAR:
```
TbAl
1.0
-0.3319 1.1106 3.4231
-3.1873 -1.6869 0.2383
1.6710 -2.9970 1.1344
Al Tb
1 1
Direct
0.0000 0.0000 0.0000
0.5000 0.5000 0.5000
```

Material: Sr4ZnHg
Method: DFT, GGA-PBE
State: relaxed

- space group = No. 123
- final energy (eV per atom) = -1.64

Cell and atoms, written as POSCAR:
```
Sr4ZnHg
1.0
-2.2089 -1.6731 -2.9035
-0.2195 -3.3978 2.1249
-11.8390 4.7029 6.2969
Hg Sr Zn
1 4 1
Direct
0.5000 0.5000 0.5000
0.5000 0.5000 0.1320
0.0000 0.0000 0.3639
0.0000 0.0000 0.6361
0.5000 0.5000 0.8680
0.0000 0.0000 0.0000
```

Material: Re10W3
Method: DFT, GGA-PBE
State: relaxed

- energy relative to the elements (eV/f.u.) = 3.4
- space group = No. 166
- final energy (eV per atom) = -12.29
- energy above the lowest structure with this stoichiometry (kJ/mol of formula units) = 101

Cell and atoms, written as POSCAR:
```
Re10W3
1.0
2.5399 1.4664 9.0957
-2.5399 1.4664 9.0957
0.0000 -2.9328 9.0957
Re W
10 3
Direct
0.5830 0.0911 0.0911
0.0911 0.5830 0.0911
0.1665 0.1665 0.1665
0.3488 0.3488 0.3488
0.9089 0.9089 0.4170
0.0911 0.0911 0.5830
0.6512 0.6512 0.6512
0.8335 0.8335 0.8335
0.9089 0.4170 0.9089
0.4170 0.9089 0.9089
0.0000 0.0000 0.0000
0.4535 0.4535 0.4535
0.5465 0.5465 0.5465
```

Material: Hg2PtPb
Method: DFT, GGA-PBE
State: relaxed

- space group = No. 216
- final energy (eV per atom) = -2.45

Cell and atoms, written as POSCAR:
```
Hg2PtPb
1.0
0.0000 3.5714 3.5714
3.5714 0.0000 3.5714
3.5714 3.5714 0.0000
Hg Pb Pt
2 1 1
Direct
0.0000 0.0000 0.0000
0.7500 0.7500 0.7500
0.5000 0.5000 0.5000
0.2500 0.2500 0.2500
```

Material: TbDySb
Method: DFT, GGA-PBE
State: relaxed

- space group = No. 216
- final energy (eV per atom) = -4.99

Cell and atoms, written as POSCAR:
```
TbDySb
1.0
0.0000 3.5878 3.5878
3.5878 0.0000 3.5878
3.5878 3.5878 0.0000
Dy Sb Tb
1 1 1
Direct
0.0000 0.0000 0.0000
0.7500 0.7500 0.7500
0.5000 0.5000 0.5000
```

Material: PmSmAs2
Method: DFT, GGA-PBE
State: relaxed

- space group = No. 123
- final energy (eV per atom) = -6.22

Cell and atoms, written as POSCAR:
```
PmSmAs2
1.0
-1.7624 3.3794 -1.8181
0.1153 -1.9531 -3.7422
-5.4243 -2.2789 1.0222
As Pm Sm
2 1 1
Direct
0.0000 0.0000 0.0000
0.5000 0.5000 0.5000
0.0000 0.0000 0.5000
0.5000 0.5000 0.0000
```

> What is the final energy in the sixth record?

-6.22 eV per atom